P2AuBr: optimized geometry, GGA-PBE.

```
P2AuBr
1.0
3.4324 -1.9662 0.0000
3.4324 1.9662 0.0000
-2.0831 0.0000 7.1269
P Au Br
2 1 1
Direct
0.1219 0.1219 0.3514 P
0.8781 0.8781 0.6486 P
0.5000 0.5000 0.5000 Au
0.0000 0.0000 0.0000 Br
```

## Properties
Energy relative to the elements, uncorrected   0.17 eV per atom
Energy above the most stable polymorph in this dataset   0.055 eV/atom
Symmetry   C2/m
Density of states at the Fermi level   1.23 states/eV/cell

***

CoSb2W: optimized geometry, GGA-PBE.

```
CoSb2W
1.0
0.0000 3.2852 3.2852
3.2852 0.0000 3.2852
3.2852 3.2852 0.0000
Co Sb W
1 2 1
Direct
0.0000 0.0000 0.0000 Co
0.2500 0.2500 0.2500 Sb
0.7500 0.7500 0.7500 Sb
0.5000 0.5000 0.5000 W
```

## Properties
Energy relative to the elements, uncorrected   0.55 eV per atom
Energy above the most stable polymorph in this dataset   0.309 eV/atom
Symmetry   Fm-3m
Density of states at the Fermi level   4.03 states/eV/cell

***

PuTl2SbO6: optimized geometry, GGA-PBE.

```
PuTl2SbO6
1.0
0.0000 4.2174 4.2174
4.2174 0.0000 4.2174
4.2174 4.2174 0.0000
Pu Tl Sb O
1 2 1 6
Direct
0.0000 0.0000 0.0000 Pu
0.2500 0.2500 0.2500 Tl
0.7500 0.7500 0.7500 Tl
0.5000 0.5000 0.5000 Sb
0.2574 0.2574 0.7426 O
0.2574 0.7426 0.2574 O
0.2574 0.7426 0.7426 O
0.7426 0.2574 0.2574 O
0.7426 0.2574 0.7426 O
0.7426 0.7426 0.2574 O
```

## Properties
Energy relative to the elements, uncorrected   -1.61 eV per atom
Symmetry   Fm-3m
Density of states at the Fermi level   11.09 states/eV/cell

***

TmScCuAg: optimized geometry, GGA-PBE.

```
TmScCuAg
1.0
3.4183 0.0000 0.0000
0.0000 3.4183 0.0000
0.0000 0.0000 6.8991
Tm Sc Cu Ag
1 1 1 1
Direct
0.0000 0.0000 0.0000 Tm
0.0000 0.0000 0.4711 Sc
0.5000 0.5000 0.2546 Cu
0.5000 0.5000 0.7182 Ag
```

## Properties
Energy above the most stable polymorph in this dataset   0.000 eV/atom
Symmetry   P4mm
Density of states at the Fermi level   2.81 states/eV/cell

***

PmNd6Sm2Ho3: optimized geometry, GGA-PBE.

```
PmNd6Sm2Ho3
1.0
3.1512 -5.4589 0.0000
3.1512 5.4589 0.0000
-2.0955 0.0000 11.7794
Pm Nd Sm Ho
1 6 2 3
Direct
0.0000 0.0000 0.0000 Pm
0.0844 0.4179 0.2532 Nd
0.2490 0.2490 0.7468 Nd
0.4179 0.0844 0.2532 Nd
0.5821 0.9156 0.7468 Nd
0.7510 0.7510 0.2532 Nd
0.9156 0.5821 0.7468 Nd
0.3334 0.6666 0.0000 Sm
0.6666 0.3334 0.0000 Sm
0.1667 0.8333 0.5000 Ho
0.5000 0.5000 0.5000 Ho
0.8333 0.1667 0.5000 Ho
```

## Properties
Symmetry   C2/m
Total energy   -4.697 eV per atom
Density of states at the Fermi level   15.01 states/eV/cell

***

Sr2TiMo: optimized geometry, GGA-PBE.

```
Sr2TiMo
1.0
-4.3417 4.3417 2.9211
4.3417 -4.3417 2.9211
4.3417 4.3417 -2.9211
Sr Ti Mo
4 2 2
Direct
0.1082 0.6250 0.9832 Sr
0.3750 0.3582 0.4832 Sr
0.6418 0.1250 0.0168 Sr
0.8750 0.8918 0.5168 Sr
0.2500 0.7500 0.5000 Ti
0.5000 0.5000 0.0000 Ti
0.0000 0.0000 0.0000 Mo
0.7500 0.2500 0.5000 Mo
```

## Properties
Energy above the most stable polymorph in this dataset   0.114 eV/atom
Symmetry   I-42d
Density of states at the Fermi level   15.20 states/eV/cell

***

GeAuF2: optimized geometry, GGA-PBE.

```
GeAuF2
1.0
-1.9809 1.9809 7.7739
1.9809 -1.9809 7.7739
1.9809 1.9809 -7.7739
Ge Au F
2 2 4
Direct
0.0000 0.0000 0.0000 Ge
0.7500 0.2500 0.5000 Ge
0.2500 0.7500 0.5000 Au
0.5000 0.5000 0.0000 Au
0.0925 0.6250 0.9675 F
0.3750 0.3425 0.4675 F
0.6575 0.1250 0.0325 F
0.8750 0.9075 0.5325 F
```

## Properties
Energy relative to the elements, uncorrected   -0.83 eV per atom
Energy above the most stable polymorph in this dataset   0.223 eV/atom
Symmetry   I-42d
Density of states at the Fermi level   4.45 states/eV/cell

***

Rb3PuAg2Br9: optimized geometry, GGA-PBE.

```
Rb3PuAg2Br9
1.0
7.9567 0.0000 0.0000
-3.9784 6.8907 0.0000
0.0000 0.0000 9.8472
Rb Pu Ag Br
3 1 2 9
Direct
0.0000 0.0000 0.0000 Rb
0.3333 0.6667 0.7228 Rb
0.6667 0.3333 0.2772 Rb
0.0000 0.0000 0.5000 Pu
0.3333 0.6667 0.1534 Ag
0.6667 0.3333 0.8466 Ag
0.0000 0.5000 0.0000 Br
0.1648 0.3296 0.3352 Br
0.1648 0.8352 0.3352 Br
0.3296 0.1648 0.6648 Br
0.5000 0.0000 0.0000 Br
0.5000 0.5000 0.0000 Br
0.6704 0.8352 0.3352 Br
0.8352 0.1648 0.6648 Br
0.8352 0.6704 0.6648 Br
```

## Properties
Energy relative to the elements, uncorrected   -1.23 eV per atom
Symmetry   P-3m1
Density of states at the Fermi level   13.56 states/eV/cell

***

BaSnHg2Pd: optimized geometry, GGA-PBE.

```
BaSnHg2Pd
1.0
5.3361 0.0000 0.0000
0.0000 5.3361 0.0000
0.0000 0.0000 5.2340
Ba Sn Hg Pd
1 1 2 1
Direct
0.0000 0.0000 0.0000 Ba
0.5000 0.5000 0.0000 Sn
0.0000 0.5000 0.5000 Hg
0.5000 0.0000 0.5000 Hg
0.5000 0.5000 0.5000 Pd
```

## Properties
Symmetry   P4/mmm
Total energy   -2.706 eV per atom
Density of states at the Fermi level   3.35 states/eV/cell

***

Sm2YHo3Sb6: optimized geometry, GGA-PBE.

```
Sm2YHo3Sb6
1.0
9.6027 -2.2037 0.0000
9.6027 2.2037 0.0000
-2.0130 0.0000 8.5802
Sm Y Ho Sb
2 1 3 6
Direct
0.1662 0.1662 0.3326 Sm
0.8338 0.8338 0.6674 Sm
0.5000 0.5000 0.0000 Y
0.1673 0.1673 0.8334 Ho
0.5000 0.5000 0.5000 Ho
0.8327 0.8327 0.1666 Ho
0.0020 0.0020 0.7499 Sb
0.3333 0.3333 0.9216 Sb
0.3348 0.3348 0.4131 Sb
0.6652 0.6652 0.5869 Sb
0.6667 0.6667 0.0784 Sb
0.9980 0.9980 0.2501 Sb
```

## Properties
Energy relative to the elements, uncorrected   -1.14 eV per atom
Symmetry   C2/m
Density of states at the Fermi level   1.92 states/eV/cell

***

InC5: optimized geometry, GGA-PBE.

```
InC5
1.0
3.5383 -1.3757 0.0000
3.5383 1.3757 0.0000
-1.5193 0.0000 7.5637
In C
1 5
Direct
0.0000 0.0000 0.0000 In
0.2048 0.2048 0.6752 C
0.2517 0.2517 0.8643 C
0.5777 0.5777 0.2369 C
0.6283 0.6283 0.3996 C
0.6805 0.6805 0.5836 C
```

## Properties
Energy above the most stable polymorph in this dataset   0.000 eV/atom
Symmetry   Cm
Density of states at the Fermi level   1.26 states/eV/cell

***

TaSbRh2: optimized geometry, GGA-PBE.

```
TaSbRh2
1.0
4.3683 -1.6884 0.0000
4.3683 1.6884 0.0000
-1.2462 0.0000 4.6834
Ta Sb Rh
1 1 2
Direct
0.0000 0.0000 0.0000 Ta
0.5000 0.5000 0.5000 Sb
0.2599 0.2599 0.7765 Rh
0.7401 0.7401 0.2235 Rh
```

## Properties
Energy relative to the elements, uncorrected   -0.27 eV per atom
Symmetry   C2/m
Density of states at the Fermi level   1.86 states/eV/cell

***

BPdS3: optimized geometry, GGA-PBE.

```
BPdS3
1.0
4.1577 0.0000 0.0000
0.0000 4.1577 0.0000
0.0000 0.0000 4.1577
B Pd S
1 1 3
Direct
0.0000 0.0000 0.0000 B
0.5000 0.5000 0.5000 Pd
0.0000 0.0000 0.5000 S
0.0000 0.5000 0.0000 S
0.5000 0.0000 0.0000 S
```

## Properties
Energy relative to the elements, uncorrected   0.79 eV per atom
Energy above the most stable polymorph in this dataset   0.916 eV/atom
Symmetry   Pm-3m
Density of states at the Fermi level   5.14 states/eV/cell

***

Pm3YTh2Bi6: optimized geometry, GGA-PBE.

```
Pm3YTh2Bi6
1.0
9.9655 -2.2885 0.0000
9.9655 2.2885 0.0000
-2.1121 0.0000 8.8890
Pm Y Th Bi
3 1 2 6
Direct
0.0000 0.0000 0.0000 Pm
0.3329 0.3329 0.6658 Pm
0.6671 0.6671 0.3342 Pm
0.0000 0.0000 0.5000 Y
0.3352 0.3352 0.1691 Th
0.6648 0.6648 0.8309 Th
0.1647 0.1647 0.5809 Bi
0.1669 0.1669 0.0842 Bi
0.4989 0.4989 0.7452 Bi
0.5011 0.5011 0.2548 Bi
0.8331 0.8331 0.9158 Bi
0.8353 0.8353 0.4191 Bi
```

## Properties
Symmetry   C2/m
Total energy   -5.721 eV per atom
Density of states at the Fermi level   5.10 states/eV/cell

***

MgCu2SiBi: optimized geometry, GGA-PBE.

```
MgCu2SiBi
1.0
4.8614 0.0000 0.0000
0.0000 4.8614 0.0000
0.0000 0.0000 5.8597
Mg Cu Si Bi
1 2 1 1
Direct
0.0000 0.0000 0.0000 Mg
0.0000 0.5000 0.5000 Cu
0.5000 0.0000 0.5000 Cu
0.5000 0.5000 0.0000 Si
0.5000 0.5000 0.5000 Bi
```

## Properties
Energy relative to the elements, uncorrected   0.93 eV per atom
Symmetry   P4/mmm
Density of states at the Fermi level   2.67 states/eV/cell

***

Ga3Ag3Sn: optimized geometry, GGA-PBE.

```
Ga3Ag3Sn
1.0
7.1903 0.0000 0.0000
0.0000 7.1903 0.0000
0.0000 0.0000 7.1903
Ga Ag Sn
6 6 2
Direct
0.0000 0.2500 0.5000 Ga
0.0000 0.7500 0.5000 Ga
0.2500 0.5000 0.0000 Ga
0.5000 0.0000 0.2500 Ga
0.5000 0.0000 0.7500 Ga
0.7500 0.5000 0.0000 Ga
0.0000 0.5000 0.2500 Ag
0.0000 0.5000 0.7500 Ag
0.2500 0.0000 0.5000 Ag
0.5000 0.2500 0.0000 Ag
0.5000 0.7500 0.0000 Ag
0.7500 0.0000 0.5000 Ag
0.0000 0.0000 0.0000 Sn
0.5000 0.5000 0.5000 Sn
```

## Properties
Energy above the most stable polymorph in this dataset   0.389 eV/atom
Symmetry   Pm-3n
Density of states at the Fermi level   8.02 states/eV/cell

***

Tb6DySc3: optimized geometry, GGA-PBE.

```
Tb6DySc3
1.0
5.1785 -9.3286 0.0000
5.1785 9.3286 0.0000
0.0000 0.0000 6.2152
Tb Dy Sc
12 2 6
Direct
0.0373 0.4421 0.9930 Tb
0.0455 0.9545 0.5000 Tb
0.2964 0.3672 0.8161 Tb
0.3039 0.6961 0.6809 Tb
0.3672 0.2964 0.3161 Tb
0.4421 0.0373 0.4930 Tb
0.5579 0.9627 0.9930 Tb
0.6328 0.7036 0.8161 Tb
0.6961 0.3039 0.1809 Tb
0.7036 0.6328 0.3161 Tb
0.9545 0.0455 0.0000 Tb
0.9627 0.5579 0.4930 Tb
0.2109 0.7891 0.1635 Dy
0.7891 0.2109 0.6635 Dy
0.0764 0.3083 0.4278 Sc
0.3083 0.0764 0.9278 Sc
0.3854 0.6146 0.2309 Sc
0.6146 0.3854 0.7309 Sc
0.6917 0.9236 0.4278 Sc
0.9236 0.6917 0.9278 Sc
```

## Properties
Energy above the most stable polymorph in this dataset   0.000 eV/atom
Symmetry   Cmc2_1
Density of states at the Fermi level   26.86 states/eV/cell

***

ZnCu2Se: optimized geometry, GGA-PBE.

```
ZnCu2Se
1.0
3.4569 0.0000 0.0000
0.0000 3.4569 0.0000
0.0000 0.0000 5.0439
Zn Cu Se
1 2 1
Direct
0.0000 0.0000 0.0000 Zn
0.0000 0.0000 0.4787 Cu
0.5000 0.5000 0.2337 Cu
0.5000 0.5000 0.7237 Se
```

## Properties
Energy relative to the elements, uncorrected   0.04 eV per atom
Energy above the most stable polymorph in this dataset   0.019 eV/atom
Symmetry   P4mm
Density of states at the Fermi level   0.95 states/eV/cell

***

PmTiZnSn: optimized geometry, GGA-PBE.

```
PmTiZnSn
1.0
0.0000 3.5466 3.5466
3.5466 0.0000 3.5466
3.5466 3.5466 0.0000
Pm Ti Zn Sn
1 1 1 1
Direct
0.0000 0.0000 0.0000 Pm
0.5000 0.5000 0.5000 Ti
0.2500 0.2500 0.2500 Zn
0.7500 0.7500 0.7500 Sn
```

## Properties
Symmetry   F-43m
Total energy   -4.701 eV per atom
Density of states at the Fermi level   4.68 states/eV/cell

***

TaTc2NiH: optimized geometry, GGA-PBE.

```
TaTc2NiH
1.0
3.8771 0.0000 0.0000
0.0000 3.8771 0.0000
0.0000 0.0000 4.0154
Ta Tc Ni H
1 2 1 1
Direct
0.0000 0.0000 0.0000 Ta
0.0000 0.5000 0.5000 Tc
0.5000 0.0000 0.5000 Tc
0.5000 0.5000 0.0000 Ni
0.0000 0.0000 0.5000 H
```

## Properties
Energy above the most stable polymorph in this dataset   0.059 eV/atom
Symmetry   P4/mmm
Density of states at the Fermi level   3.05 states/eV/cell

***

Mg2MoN: optimized geometry, GGA-PBE.

```
Mg2MoN
1.0
-3.9676 3.9676 2.0294
3.9676 -3.9676 2.0294
3.9676 3.9676 -2.0294
Mg Mo N
4 2 2
Direct
0.3750 0.2487 0.3737 Mg
0.7513 0.1250 0.1263 Mg
0.8750 0.0013 0.6263 Mg
0.9987 0.6250 0.8737 Mg
0.2500 0.7500 0.5000 Mo
0.5000 0.5000 0.0000 Mo
0.0000 0.0000 0.0000 N
0.7500 0.2500 0.5000 N
```

## Properties
Energy relative to the elements, uncorrected   0.22 eV per atom
Symmetry   I-42d
Density of states at the Fermi level   6.31 states/eV/cell

***

PrDy3In2: optimized geometry, GGA-PBE.

```
PrDy3In2
1.0
5.2457 0.0000 0.0000
0.0000 9.9303 0.0000
0.0000 0.0000 6.7673
Pr Dy In
2 6 4
Direct
0.0000 0.0381 0.0000 Pr
0.0000 0.9619 0.5000 Pr
0.0000 0.3227 0.6440 Dy
0.0000 0.6773 0.1440 Dy
0.5000 0.1864 0.2762 Dy
0.5000 0.4593 0.9256 Dy
0.5000 0.5407 0.4256 Dy
0.5000 0.8136 0.7762 Dy
0.0000 0.3607 0.1724 In
0.0000 0.6393 0.6724 In
0.5000 0.1462 0.7452 In
0.5000 0.8538 0.2452 In
```

## Properties
Energy above the most stable polymorph in this dataset   0.000 eV/atom
Symmetry   Pmc2_1
Density of states at the Fermi level   11.75 states/eV/cell

***

Sr2SbIr: optimized geometry, GGA-PBE.

```
Sr2SbIr
1.0
3.4902 0.0000 0.0000
0.0000 5.4554 0.0000
0.0000 0.0000 6.4476
Sr Sb Ir
2 1 1
Direct
0.0000 0.0000 0.0000 Sr
0.5000 0.5000 0.4847 Sr
0.5000 0.5000 0.9836 Sb
0.0000 0.0000 0.4935 Ir
```

## Properties
Energy relative to the elements, uncorrected   -0.01 eV per atom
Symmetry   Pmm2
Density of states at the Fermi level   4.73 states/eV/cell

***

SrBeSb2: optimized geometry, GGA-PBE.

```
SrBeSb2
1.0
2.3429 1.3527 5.6554
-2.3429 1.3527 5.6554
0.0000 -2.7053 5.6554
Sr Be Sb
1 1 2
Direct
0.0000 0.0000 0.0000 Sr
0.5000 0.5000 0.5000 Be
0.2112 0.2112 0.2112 Sb
0.7888 0.7888 0.7888 Sb
```

## Properties
Energy relative to the elements, uncorrected   -0.07 eV per atom
Symmetry   R-3m
Density of states at the Fermi level   1.41 states/eV/cell